w) # Sc3NiHg, relaxed, DFT GGA-PBE
# Crystal system ... cubic
# Magnetization ... 0.00 μB/cell
data_Sc3NiHg
_chemical_formula_sum 'Sc3 Ni1 Hg1'
_cell_length_a 4.865
_cell_length_b 4.865
_cell_length_c 4.865
_cell_angle_alpha 90.00
_cell_angle_beta 90.00
_cell_angle_gamma 90.00
_symmetry_space_group_name_H-M 'P m -3 m'
_symmetry_Int_Tables_number 221
_symmetry_space_group_name_Hall '-P 4 2 3'
loop_
_atom_site_label
_atom_site_type_symbol
_atom_site_fract_x
_atom_site_fract_y
_atom_site_fract_z
Sc1 Sc 0.000 0.000 0.500
Ni1 Ni 0.000 0.000 0.000
Hg1 Hg 0.500 0.500 0.500


x) # Sc3NiHg, relaxed, DFT GGA-PBE
# Crystal system ... hexagonal
# Magnetization ... 0.00 μB/cell
data_Sc3NiHg
_chemical_formula_sum 'Sc6 Ni2 Hg2'
_cell_length_a 7.0773
_cell_length_b 7.0773
_cell_length_c 4.8700
_cell_angle_alpha 90.00
_cell_angle_beta 90.00
_cell_angle_gamma 120.00
_symmetry_space_group_name_H-M 'P 63/m m c'
_symmetry_Int_Tables_number 194
_symmetry_space_group_name_Hall '-P 6c 2c'
loop_
_atom_site_label
_atom_site_type_symbol
_atom_site_fract_x
_atom_site_fract_y
_atom_site_fract_z
Sc1 Sc 0.1848 0.3696 0.2500
Ni1 Ni 0.0000 0.0000 0.0000
Hg1 Hg 0.3333 0.6667 0.7500


Which structure is the least stable? The one labeled w).


w) # Sc8Ni2Hg, relaxed, DFT GGA-PBE
# Crystal system ... monoclinic
# Magnetization ... 0.87 μB/cell
data_Sc8Ni2Hg
_chemical_formula_sum 'Sc16 Ni4 Hg2'
_cell_length_a 16.513
_cell_length_b 3.362
_cell_length_c 8.636
_cell_angle_alpha 90.00
_cell_angle_beta 100.89
_cell_angle_gamma 90.00
_symmetry_space_group_name_H-M 'C 1 2/m 1'
_symmetry_Int_Tables_number 12
loop_
_symmetry_equiv_pos_as_xyz
'x,y,z'
'-x,-y,-z'
'-x,y,-z'
'x,-y,z'
'x+1/2,y+1/2,z'
'-x+1/2,-y+1/2,-z'
'-x+1/2,y+1/2,-z'
'x+1/2,-y+1/2,z'
loop_
_atom_site_label
_atom_site_type_symbol
_atom_site_fract_x
_atom_site_fract_y
_atom_site_fract_z
Sc1 Sc 0.026 0.000 0.188
Sc2 Sc 0.139 0.000 0.685
Sc3 Sc 0.155 0.500 0.006
Sc4 Sc 0.178 0.500 0.386
Ni1 Ni 0.241 0.000 0.217
Hg1 Hg 0.000 0.500 0.500


x) # Sc8Ni2Hg, relaxed, DFT GGA-PBE
# Crystal system ... monoclinic
# Magnetization ... 2.62 μB/cell
data_Sc8Ni2Hg
_chemical_formula_sum 'Sc16 Ni4 Hg2'
_cell_length_a 8.072
_cell_length_b 12.460
_cell_length_c 4.868
_cell_angle_alpha 90.00
_cell_angle_beta 104.42
_cell_angle_gamma 90.00
_symmetry_space_group_name_H-M 'C 1 2/m 1'
_symmetry_Int_Tables_number 12
loop_
_symmetry_equiv_pos_as_xyz
'x,y,z'
'-x,-y,-z'
'-x,y,-z'
'x,-y,z'
'x+1/2,y+1/2,z'
'-x+1/2,-y+1/2,-z'
'-x+1/2,y+1/2,-z'
'x+1/2,-y+1/2,z'
loop_
_atom_site_label
_atom_site_type_symbol
_atom_site_fract_x
_atom_site_fract_y
_atom_site_fract_z
Sc1 Sc 0.000 0.245 0.000
Sc2 Sc 0.113 0.500 0.806
Sc3 Sc 0.200 0.127 0.579
Ni1 Ni 0.000 0.310 0.500
Hg1 Hg 0.000 0.000 0.000


Which structure is the least stable? The one labeled x).